Entry 1:
Pr2GaSiPt6 | GGA-PBE | optimized geometry

Unit cell a=5.596 b=8.735 c=8.238 alpha=90.00 beta=90.00 gamma=90.00
Space group Pmmn (No. 59, origin choice 2)
Inequivalent atoms, fractional coordinates:
1 Pr 0.250 0.006 0.227 x4
2 Ga 0.250 0.750 0.770 x2
3 Si 0.250 0.250 0.744 x2
4 Pt 0.000 0.250 0.978 x4
5 Pt 0.002 0.750 0.503 x4
6 Pt 0.250 0.001 0.611 x4

## Properties
Uncorrected formation energy ... -952 meV per atom
Total magnetization ... 0.0 μB/f.u.


Entry 2:
Zr3InRe | GGA-PBE | optimized geometry

Unit cell a=5.123 b=5.123 c=5.123 alpha=90.00 beta=90.00 gamma=90.00
Space group Pm-3m (No. 221)
Inequivalent atoms, fractional coordinates:
1 Zr 0.000 0.000 0.500 x3
2 In 0.000 0.000 0.000 x1
3 Re 0.500 0.500 0.500 x1

## Properties
Polymorph energy (0 for the lowest one) ... 1342 meV/atom
E_form ... 1.774 eV/atom
Total magnetization ... 0.0 μB/f.u.


Entry 3:
MnNbGeHI | GGA-PBE | optimized geometry

Unit cell a=4.182 b=4.239 c=6.772 alpha=83.84 beta=75.75 gamma=61.30
Space group P1 (No. 1)
Inequivalent atoms, fractional coordinates:
1 Mn 0.000 0.000 0.000 x1
2 Nb 0.696 0.677 0.919 x1
3 Ge 0.289 0.329 0.116 x1
4 H 0.247 0.639 0.861 x1
5 I 0.970 0.154 0.604 x1

## Properties
Polymorph energy (0 for the lowest one) ... 136 meV/atom
Total magnetization ... 0.0 μB/f.u.


Entry 4:
SrPt2Pb | GGA-PBE | optimized geometry

Unit cell a=3.621 b=4.952 c=10.213 alpha=90.00 beta=90.00 gamma=90.00
Space group Imm2 (No. 44)
Inequivalent atoms, fractional coordinates:
1 Sr 0.000 0.000 0.000 x2
2 Pt 0.000 0.000 0.509 x2
3 Pt 0.000 0.500 0.215 x2
4 Pb 0.000 0.500 0.784 x2

## Properties
E_form ... -0.408 eV/atom
Total magnetization ... 0.0 μB/f.u.


Entry 5:
Nd2TmPb | GGA-PBE | optimized geometry

Unit cell a=7.899 b=7.899 c=7.899 alpha=90.00 beta=90.00 gamma=90.00
Space group Fm-3m (No. 225)
Inequivalent atoms, fractional coordinates:
1 Nd 0.250 0.250 0.250 x8
2 Tm 0.000 0.000 0.000 x4
3 Pb 0.000 0.000 0.500 x4

## Properties
Polymorph energy (0 for the lowest one) ... 153 meV/atom
E_form ... -0.150 eV/atom
Total magnetization ... 0.0 μB/f.u.


Entry 6:
Pm4Pb | GGA-PBE | optimized geometry

Unit cell a=8.096 b=8.096 c=4.825 alpha=90.00 beta=90.00 gamma=90.00
Space group I4/m (No. 87)
Inequivalent atoms, fractional coordinates:
1 Pm 0.106 0.297 0.000 x8
2 Pb 0.000 0.000 0.500 x2

## Properties
Polymorph energy (0 for the lowest one) ... 0 meV/atom
E_form ... -0.216 eV/atom
Total magnetization ... 0.0 μB/f.u.